Material: BaAl2Si2
Method: DFT, GGA-PBE
State: optimized geometry

Summary:
- formation energy without anion corrections (eV per atom) = -0.288
- E_tot (eV/atom) = -4.339

Lattice parameters (Å, degrees): 4.1973 4.1973 7.1682 107.07 107.07 90.00
With the nearest neighbours (Å) after each atom.
Atoms (fractional coordinates):
Si1 0.6377 0.6377 0.2748  4 Al 2.56
Si2 0.3623 0.3623 0.7252  4 Al 2.56
Ba1 0.0000 0.0000 0.0000  8 Si 3.47, 8 Al 3.88
Al1 0.2503 0.7497 0.5000  4 Si 2.56
Al2 0.7497 0.2503 0.5000  4 Si 2.56